[1]
VASP calculation (PBE-GGA) on a geometry-optimized CoRhBr2 structure.

Summary:
For the energy above the most stable polymorph in this dataset, the calculation gives 739.2 meV per atom. The total energy is -3.646 eV/atom. The space group is Fm-3m. The value obtained for the uncorrected formation energy is 0.804 eV per atom.

```
16
Lattice="6.5582 0.0000 0.0000 0.0000 6.5582 0.0000 0.0000 0.0000 6.5582" Properties=species:S:1:pos:R:3 pbc="T T T"
Co 0.0000 0.0000 0.0000
Co 0.0000 3.2791 3.2791
Co 3.2791 0.0000 3.2791
Co 3.2791 3.2791 0.0000
Rh 0.0000 0.0000 3.2791
Rh 0.0000 3.2791 0.0000
Rh 3.2791 0.0000 0.0000
Rh 3.2791 3.2791 3.2791
Br 1.6395 1.6395 1.6395
Br 1.6395 1.6395 4.9186
Br 1.6395 4.9186 1.6395
Br 1.6395 4.9186 4.9186
Br 4.9186 1.6395 1.6395
Br 4.9186 1.6395 4.9186
Br 4.9186 4.9186 1.6395
Br 4.9186 4.9186 4.9186
```

[2]
VASP calculation (PBE-GGA) on a geometry-optimized CoRh2Br structure.

Summary:
For the energy above the most stable polymorph in this dataset, the calculation gives 257.4 meV per atom. The total energy is -5.184 eV/atom. The space group is C2/m. The value obtained for the uncorrected formation energy is 0.687 eV per atom.

```
8
Lattice="5.4600 0.0000 0.0000 0.0000 8.8615 0.0000 -1.5400 0.0000 2.5513" Properties=species:S:1:pos:R:3 pbc="T T T"
Co 0.0000 0.0000 0.0000
Co 2.7300 4.4307 0.0000
Rh 0.5950 2.2154 1.2757
Rh 0.5950 6.6461 1.2757
Rh 3.3250 2.2154 1.2757
Rh 3.3250 6.6461 1.2757
Br 0.0000 4.4307 0.0000
Br 2.7300 0.0000 0.0000
```

[3]
VASP calculation (PBE-GGA) on a geometry-optimized CoRh4Br structure.

Summary:
The total energy is -5.527 eV/atom. The space group is F-43m. The value obtained for the uncorrected formation energy is 0.837 eV per atom.

```
6
Lattice="0.0000 3.6634 3.6634 3.6634 0.0000 3.6634 3.6634 3.6634 0.0000" Properties=species:S:1:pos:R:3 pbc="T T T"
Co 0.0000 0.0000 0.0000
Rh 4.5797 2.7472 2.7472
Rh 2.7472 4.5797 2.7472
Rh 2.7472 2.7472 4.5797
Rh 4.5797 4.5797 4.5797
Br 1.8317 1.8317 1.8317
```

[4]
VASP calculation (PBE-GGA) on a geometry-optimized CoRh2Br structure.

Summary:
For the energy above the most stable polymorph in this dataset, the calculation gives 196.8 meV per atom. The total energy is -5.244 eV/atom. The space group is Imm2. The value obtained for the uncorrected formation energy is 0.626 eV per atom.

```
8
Lattice="2.9548 0.0000 0.0000 0.0000 4.4653 0.0000 0.0000 0.0000 9.0372" Properties=species:S:1:pos:R:3 pbc="T T T"
Co 0.0000 0.0000 0.0000
Co 1.4774 2.2326 4.5186
Rh 0.0000 0.0000 4.7858
Rh 0.0000 2.2326 6.8089
Rh 1.4774 0.0000 2.2903
Rh 1.4774 2.2326 0.2672
Br 0.0000 2.2326 2.4441
Br 1.4774 0.0000 6.9627
```

[5]
VASP calculation (PBE-GGA) on a geometry-optimized CoRh2Br structure.

Summary:
For the energy above the most stable polymorph in this dataset, the calculation gives 129.8 meV per atom. The total energy is -5.311 eV/atom. The space group is C2/m. The value obtained for the uncorrected formation energy is 0.559 eV per atom.

```
8
Lattice="8.6779 0.0000 0.0000 0.0000 2.9518 0.0000 -0.7828 0.0000 4.7372" Properties=species:S:1:pos:R:3 pbc="T T T"
Co 0.0000 0.0000 0.0000
Co 4.3389 1.4759 0.0000
Rh 1.8740 1.4759 1.0811
Rh 1.6821 0.0000 3.6562
Rh 6.2129 0.0000 1.0811
Rh 6.0210 1.4759 3.6562
Br -0.3914 1.4759 2.3686
Br 3.9475 0.0000 2.3686
```

[6]
VASP calculation (PBE-GGA) on a geometry-optimized CoRhBr2 structure.

Summary:
For the energy above the most stable polymorph in this dataset, the calculation gives 621.4 meV per atom. The total energy is -3.764 eV/atom. The space group is P4/mmm. The value obtained for the uncorrected formation energy is 0.687 eV per atom.

```
4
Lattice="4.5925 0.0000 0.0000 0.0000 4.5925 0.0000 0.0000 0.0000 3.2842" Properties=species:S:1:pos:R:3 pbc="T T T"
Co 0.0000 0.0000 0.0000
Rh 2.2963 2.2963 0.0000
Br 0.0000 2.2963 1.6421
Br 2.2963 0.0000 1.6421
```

[7]
VASP calculation (PBE-GGA) on a geometry-optimized CoRh2Br structure.

Summary:
For the energy above the most stable polymorph in this dataset, the calculation gives 442.4 meV per atom. The total energy is -4.999 eV/atom. The space group is I-42d. The value obtained for the uncorrected formation energy is 0.872 eV per atom.

```
16
Lattice="5.9118 0.0000 0.0000 0.0000 5.9118 0.0000 0.0000 0.0000 9.4251" Properties=species:S:1:pos:R:3 pbc="T T T"
Co 0.0000 0.0000 0.0000
Co 0.0000 2.9559 2.3563
Co 2.9559 0.0000 7.0688
Co 2.9559 2.9559 4.7125
Rh 1.3322 1.4780 1.1781
Rh 1.4780 4.2881 3.5344
Rh 1.4780 4.5796 8.2470
Rh 1.6237 1.4780 5.8907
Rh 4.2881 4.4339 5.8907
Rh 4.4339 1.3322 8.2470
Rh 4.4339 1.6237 3.5344
Rh 4.5796 4.4339 1.1781
Br 0.0000 0.0000 4.7125
Br 0.0000 2.9559 7.0688
Br 2.9559 0.0000 2.3563
Br 2.9559 2.9559 0.0000
```

[8]
VASP calculation (PBE-GGA) on a geometry-optimized CoRhBr2 structure.

Summary:
For the energy above the most stable polymorph in this dataset, the calculation gives 403.6 meV per atom. The total energy is -3.982 eV/atom. The space group is C2/m. The value obtained for the uncorrected formation energy is 0.469 eV per atom.

```
8
Lattice="7.5802 0.0000 0.0000 0.0000 3.4029 0.0000 -1.7366 0.0000 5.8549" Properties=species:S:1:pos:R:3 pbc="T T T"
Co 0.0000 0.0000 0.0000
Co 3.7901 1.7015 0.0000
Rh -0.8683 1.7015 2.9275
Rh 2.9218 0.0000 2.9275
Br 1.1717 1.7015 1.3824
Br 0.8818 0.0000 4.4725
Br 4.9618 0.0000 1.3824
Br 4.6719 1.7015 4.4725
```